Record 1
First-principles (PBE) data for a geometry-optimized Y3PtSeCl structure, as listed in Alexandria via LeMat-Bulk.

Calculated values
ΔE_f (raw) in kJ/mol of atoms: -136
SG: P2_1/m (11)
Density in g/cm³: 5.9

Cell: 4.000 8.247 9.911 Å, 94.07 90.00 90.00°
Sites, in units of the cell vectors:
Pt (0.250, 0.573, 0.108)
Pt (0.750, 0.427, 0.892)
Y (0.750, 0.824, 0.116)
Y (0.750, 0.351, 0.185)
Y (0.750, 0.357, 0.604)
Y (0.250, 0.649, 0.815)
Y (0.250, 0.176, 0.884)
Y (0.250, 0.643, 0.396)
Cl (0.250, 0.135, 0.593)
Cl (0.750, 0.865, 0.407)
Se (0.250, 0.088, 0.165)
Se (0.750, 0.912, 0.835)

***

Record 2
First-principles (PBE) data for a geometry-optimized SiPt2Cl structure, as listed in Alexandria via LeMat-Bulk.

Calculated values
ΔE_f (raw) in kJ/mol of atoms: -27
SG: R-3m (166)
Offset from the most stable computed form in eV/atom: 0.035
Density in g/cm³: 11.6

Cell: 7.957 7.957 7.957 Å, 22.56 22.56 22.56°
Sites, in units of the cell vectors:
Pt (0.988, 0.988, 0.988)
Pt (0.512, 0.512, 0.512)
Cl (0.750, 0.750, 0.750)
Si (0.250, 0.250, 0.250)

***

Record 3
First-principles (PBE) data for a geometry-optimized SiPtCl3 structure, as listed in Alexandria via LeMat-Bulk.

Calculated values
ΔE_f (raw) in kJ/mol of atoms: 29
SG: Pm-3m (221)
Offset from the most stable computed form in eV/atom: 0.000
Density in g/cm³: 4.7

Cell: 4.884 4.884 4.884 Å, 90.00 90.00 90.00°
Site moments in Bohr magnetons follow the coordinates.
Sites, in units of the cell vectors:
Cl (0.000, 0.000, 0.500)  -0.01
Cl (0.000, 0.500, 0.000)  -0.01
Cl (0.500, 0.000, 0.000)  -0.03
Si (0.500, 0.500, 0.500)  0.27
Pt (0.000, 0.000, 0.000)  -0.02